GGA-PBE GaAgP, optimized geometry; D(E_F) = 1.0 states/eV/cell; formation enthalpy at 0 K = 19 meV per atom; symmetry = P2_1/m
1.0
4.742 0.000 0.000
0.000 3.174 0.000
-1.578 0.000 7.502
Ga Ag P
2 2 2
Cartesian
0.458 0.793 1.332 Ga
2.706 2.380 6.170 Ga
0.357 0.793 6.374 Ag
2.807 2.380 1.128 Ag
-0.038 0.793 3.839 P
3.202 2.380 3.663 P